Entry 1:
Th2PRh6S | PBE | relaxed

Results
Raw formation energy, meV/atom: -825.6
Crystal system: orthorhombic

Geometry as CIF:
```
data_Th2PRh6S
_chemical_formula_sum 'Th4 P2 Rh12 S2'
_cell_length_a 5.602
_cell_length_b 8.456
_cell_length_c 7.652
_cell_angle_alpha 90.00
_cell_angle_beta 90.00
_cell_angle_gamma 90.00
_symmetry_space_group_name_H-M 'P m m n'
_symmetry_Int_Tables_number 59
loop_
_symmetry_equiv_pos_as_xyz
'x,y,z'
'-x,-y,-z'
'-x+1/2,-y+1/2,z'
'x+1/2,y+1/2,-z'
'x+1/2,-y,-z'
'-x+1/2,y,z'
'-x,y+1/2,-z'
'x,-y+1/2,z'
loop_
_atom_site_label
_atom_site_fract_x
_atom_site_fract_y
_atom_site_fract_z
Th1 0.250 0.004 0.234
P1 0.250 0.750 0.758
Rh1 0.001 0.250 0.493
Rh2 0.001 0.750 0.001
Rh3 0.250 0.002 0.623
S1 0.250 0.250 0.756
```

=====

Entry 2:
NaTe2H | PBE | relaxed

Results
ΔE to the lowest computed polymorph, meV/atom: 619
Crystal system: cubic

Geometry as CIF:
```
data_NaTe2H
_chemical_formula_sum 'Na4 Te8 H4'
_cell_length_a 7.164
_cell_length_b 7.164
_cell_length_c 7.164
_cell_angle_alpha 90.00
_cell_angle_beta 90.00
_cell_angle_gamma 90.00
_symmetry_space_group_name_H-M 'F m -3 m'
_symmetry_Int_Tables_number 225
_symmetry_space_group_name_Hall '-F 4 2 3'
loop_
_atom_site_label
_atom_site_fract_x
_atom_site_fract_y
_atom_site_fract_z
Na1 0.000 0.000 0.000
Te1 0.250 0.250 0.250
H1 0.000 0.000 0.500
```

=====

Entry 3:
HfTiC | PBE | relaxed

Results
ΔE to the lowest computed polymorph, meV/atom: 1
Calculated formation energy, eV/atom: -0.613
Crystal system: orthorhombic

Geometry as CIF:
```
data_HfTiC
_chemical_formula_sum 'Hf2 Ti2 C2'
_cell_length_a 3.213
_cell_length_b 4.278
_cell_length_c 6.527
_cell_angle_alpha 90.00
_cell_angle_beta 90.00
_cell_angle_gamma 90.00
_symmetry_space_group_name_H-M 'P m m n'
_symmetry_Int_Tables_number 59
loop_
_symmetry_equiv_pos_as_xyz
'x,y,z'
'-x,-y,-z'
'-x+1/2,-y+1/2,z'
'x+1/2,y+1/2,-z'
'x+1/2,-y,-z'
'-x+1/2,y,z'
'-x,y+1/2,-z'
'x,-y+1/2,z'
loop_
_atom_site_label
_atom_site_fract_x
_atom_site_fract_y
_atom_site_fract_z
Hf1 0.250 0.250 0.140
Ti1 0.250 0.250 0.598
C1 0.250 0.750 0.624
```

=====

Entry 4:
CsRb2CdSe | PBE | relaxed

Results
Raw formation energy, meV/atom: -495.9
Crystal system: tetragonal

Geometry as CIF:
```
data_CsRb2CdSe
_chemical_formula_sum 'Cs1 Rb2 Cd1 Se1'
_cell_length_a 6.649
_cell_length_b 6.649
_cell_length_c 7.040
_cell_angle_alpha 90.00
_cell_angle_beta 90.00
_cell_angle_gamma 90.00
_symmetry_space_group_name_H-M 'P 4/m m m'
_symmetry_Int_Tables_number 123
_symmetry_space_group_name_Hall '-P 4 2'
loop_
_atom_site_label
_atom_site_fract_x
_atom_site_fract_y
_atom_site_fract_z
Cs1 0.000 0.000 0.000
Rb1 0.000 0.500 0.500
Cd1 0.500 0.500 0.000
Se1 0.000 0.000 0.500
```

=====

| no. | volume (Å³/atom) |
| --- | --- |
| 1 | 18.1 |
| 2 | 23.0 |
| 3 | 15.0 |
| 4 | 62.2 |